# Ta2OsRh | the Alexandria database | PBE-GGA | optimized geometry
# final energy	-10.655	eV per atom
# M_tot	0.00	μB per formula unit
# ΔH_f (0 K)	-0.0837	eV/atom
data_Ta2OsRh
_space_group_name_H-M_alt 'C 1 2/m 1'
_space_group_IT_number 12
_cell_length_a 9.1365
_cell_length_b 2.8750
_cell_length_c 5.0164
_cell_angle_alpha 90.00
_cell_angle_beta 99.86
_cell_angle_gamma 90.00
loop_
_space_group_symop_operation_xyz
'x,y,z'
'-x,-y,-z'
'-x,y,-z'
'x,-y,z'
'x+1/2,y+1/2,z'
'-x+1/2,-y+1/2,-z'
'-x+1/2,y+1/2,-z'
'x+1/2,-y+1/2,z'
loop_
_atom_site_label
_atom_site_type_symbol
_atom_site_fract_x
_atom_site_fract_y
_atom_site_fract_z
Ta1 Ta 0.2478 0.0000 0.2509
Os1 Os 0.0000 0.0000 0.5000
Rh1 Rh 0.0000 0.5000 0.0000

---

# TaOsRh2 | the Alexandria database | PBE-GGA | optimized geometry
# final energy	-9.308	eV per atom
# ΔE to the lowest computed polymorph	565	meV/atom
# M_tot	0.87	μB per formula unit
# ΔH_f (0 K)	0.1387	eV/atom
data_TaOsRh2
_space_group_name_H-M_alt 'F m -3 m'
_space_group_IT_number 225
_space_group_name_Hall '-F 4 2 3'
_cell_length_a 6.2730
_cell_length_b 6.2730
_cell_length_c 6.2730
_cell_angle_alpha 90.00
_cell_angle_beta 90.00
_cell_angle_gamma 90.00
loop_
_atom_site_label
_atom_site_type_symbol
_atom_site_fract_x
_atom_site_fract_y
_atom_site_fract_z
Ta1 Ta 0.0000 0.0000 0.0000
Os1 Os 0.0000 0.0000 0.5000
Rh1 Rh 0.2500 0.2500 0.2500

---

Q: Which formula does entry 2 have?
A: TaOsRh2